No. 1
Density functional theory data (PBE-GGA) for W2AuBr after structural relaxation.

Cell lengths 2.953, 2.953, 9.604 Å; angles 90.00, 90.00, 113.07 degrees
Sites, in units of the cell vectors:
Au 0.000 0.000 0.467
W 0.500 0.500 0.226
W 0.000 0.000 0.022
Br 0.500 0.500 0.785

Its total energy is -0.263 hartree per atom. For the polymorph energy (0 for the lowest one), the calculation gives 4 meV per atom. Its volume is 77.1 Å³/f.u. Its space group is Cmm2, No. 35. The calculation puts the uncorrected formation energy at 2.22 eV per formula unit. The value obtained for the total magnetization is 0.00 μB per formula unit.

=====

No. 2
Density functional theory data (PBE-GGA) for CoSiBr4 after structural relaxation.

Cell lengths 6.168, 6.168, 6.168 Å; angles 60.00, 60.00, 60.00 degrees
Sites, in units of the cell vectors:
Br 0.376 0.871 0.376
Br 0.376 0.376 0.871
Br 0.871 0.376 0.376
Br 0.376 0.376 0.376
Co 0.750 0.750 0.750
Si 0.000 0.000 0.000

Its total energy is -0.070 hartree per atom. Its volume is 165.9 Å³/f.u. Its space group is F-43m, No. 216. The calculation puts the uncorrected formation energy at 7.78 eV per formula unit. The value obtained for the total magnetization is 2.11 μB per formula unit.

=====

No. 3
Density functional theory data (PBE-GGA) for Ho4ZrCu5 after structural relaxation.

Cell lengths 3.407, 3.407, 17.170 Å; angles 90.00, 90.00, 90.00 degrees
Sites, in units of the cell vectors:
Cu 0.500 0.500 0.087
Cu 0.500 0.500 0.296
Cu 0.500 0.500 0.500
Cu 0.500 0.500 0.913
Cu 0.500 0.500 0.704
Ho 0.000 0.000 0.398
Ho 0.000 0.000 0.806
Ho 0.000 0.000 0.194
Ho 0.000 0.000 0.602
Zr 0.000 0.000 0.000

Its total energy is -0.182 hartree per atom. Its volume is 199.3 Å³/f.u. Its space group is P4/mmm, No. 123. The value obtained for the formation energy is -0.224 eV/atom. The value obtained for the total magnetization is 0.64 μB per formula unit.

=====

No. 4
Density functional theory data (PBE-GGA) for AgRuS2Cl after structural relaxation.

Cell lengths 4.535, 4.535, 5.155 Å; angles 90.00, 90.00, 90.00 degrees
Sites, in units of the cell vectors:
Ag 0.500 0.500 0.500
S 0.500 0.000 0.000
S 0.000 0.500 0.000
Cl 0.000 0.000 0.500
Ru 0.000 0.000 0.000

Its total energy is -0.154 hartree per atom. For the polymorph energy (0 for the lowest one), the calculation gives 0 meV per atom. Its volume is 106.0 Å³/f.u. Its space group is P4/mmm, No. 123. The calculation puts the uncorrected formation energy at 1.26 eV per formula unit. The value obtained for the total magnetization is 0.00 μB per formula unit.

=====

No. 5
Density functional theory data (PBE-GGA) for LiGdGa after structural relaxation.

Cell lengths 3.355, 4.715, 4.715 Å; angles 120.00, 90.00, 90.00 degrees
Sites, in units of the cell vectors:
Ga 0.166 0.000 0.000
Li 0.167 0.667 0.333
Gd 0.666 0.333 0.667

Its total energy is -0.246 hartree per atom. For the polymorph energy (0 for the lowest one), the calculation gives 0 meV per atom. Its volume is 64.6 Å³/f.u. Its space group is P-6m2, No. 187. The value obtained for the formation energy is -0.366 eV/atom. The value obtained for the total magnetization is 7.38 μB per formula unit.

=====

No. 6
Density functional theory data (PBE-GGA) for MgVNCl2 after structural relaxation.

Cell lengths 4.987, 3.684, 4.987 Å; angles 90.00, 90.00, 90.00 degrees
Sites, in units of the cell vectors:
Cl 0.500 0.000 0.000
Cl 0.000 0.000 0.500
V 0.000 0.000 0.000
Mg 0.500 0.500 0.500
N 0.000 0.500 0.000

Its total energy is -0.185 hartree per atom. For the polymorph energy (0 for the lowest one), the calculation gives 0 meV per atom. Its volume is 91.6 Å³/f.u. Its space group is P4/mmm, No. 123. The calculation puts the uncorrected formation energy at -2.37 eV per formula unit. The value obtained for the total magnetization is 1.33 μB per formula unit.

=====

no.,density (Mg/m³)
1,13.9
2,4.1
3,8.9
4,4.8
5,6.0
6,2.9